Density functional theory data (PBE) for crystalline Al2CdAu at its relaxed geometry.

abc: 4.1998 4.1998 4.1254
angles: 90.00 90.00 90.00
Element x y z (fractional)
1 Al 0.0000 0.5000 0.0000
2 Al 0.5000 0.0000 0.0000
3 Cd 0.0000 0.0000 0.5000
4 Au 0.5000 0.5000 0.5000

Output
- volume (Å³ per cell) = 72.8
- size of the total moment (μB per cell) = 0.000
- ΔH_f (0 K) (eV/atom) = -0.026